# Pu4MoO10, relaxed, DFT PBE with a Hubbard U
# Total DFT energy (no corrections) ... -469.2 eV per cell
# Crystal system ... trigonal
# N(E_F) ... 11.1 states/eV/f.u.
# Calculated volume ... 12.53 Å³ per atom
data_Pu4MoO10
_chemical_formula_sum 'Pu12 Mo3 O30'
_cell_length_a 3.7492
_cell_length_b 3.7492
_cell_length_c 46.3142
_cell_angle_alpha 90.00
_cell_angle_beta 90.00
_cell_angle_gamma 120.00
_space_group_name_H-M_alt 'R -3 m'
_space_group_IT_number 166
_space_group_name_Hall '-R 3 2"'
loop_
_atom_site_label
_atom_site_fract_x
_atom_site_fract_y
_atom_site_fract_z
Pu1 0.0000 0.0000 0.1024
Pu2 0.0000 0.0000 0.2991
Mo1 0.0000 0.0000 0.5000
O1 0.0000 0.0000 0.0516
O2 0.0000 0.0000 0.1533
O3 0.0000 0.0000 0.2479
O4 0.0000 0.0000 0.3503
O5 0.0000 0.0000 0.4538